First-principles (PBE) data for a relaxed structure of La5DyTl2, as listed in Alexandria via LeMat-Bulk.

Unit cell a=5.6662 b=5.6662 c=20.5621 alpha=90.00 beta=90.00 gamma=120.00
Last column: nearest neighbours and their distance in Å.
Fractional positions:
La 0.3333 0.6667 0.7500  3 Dy 3.27
La 0.0000 0.0000 0.6606  3 Tl 3.52, 7 La 3.68-3.85, 3 Dy 3.75
La 0.0000 0.0000 0.3394  3 Tl 3.52, 7 La 3.68-3.85, 3 Dy 3.75
La 0.6667 0.3333 0.4379  4 Tl 3.29-3.35
La 0.6667 0.3333 0.0621  4 Tl 3.29-3.35
La 0.0000 0.0000 0.1606  3 Tl 3.52, 7 La 3.68-3.85, 3 Dy 3.75
La 0.3333 0.6667 0.5621  4 Tl 3.29-3.35
La 0.6667 0.3333 0.2500  3 Dy 3.27
La 0.0000 0.0000 0.8394  3 Tl 3.52, 7 La 3.68-3.85, 3 Dy 3.75
La 0.3333 0.6667 0.9379  4 Tl 3.29-3.35
Tl 0.6667 0.3333 0.9024  1 Dy 3.13, 4 La 3.29-3.35
Tl 0.3333 0.6667 0.4024  1 Dy 3.13, 4 La 3.29-3.35
Tl 0.6667 0.3333 0.5976  1 Dy 3.13, 4 La 3.29-3.35
Tl 0.3333 0.6667 0.0976  1 Dy 3.13, 4 La 3.29-3.35
Dy 0.3333 0.6667 0.2500  2 Tl 3.13, 3 La 3.27
Dy 0.6667 0.3333 0.7500  2 Tl 3.13, 3 La 3.27

E, eV for the cell shown: -69.7
Crystal system: hexagonal
Density of states at the Fermi level, states/eV/cell: 28.08